First-principles (PBE-GGA) data for a relaxed structure of SmDy2Mg3Ir2Pt, as listed in OQMD.

Lattice parameters (Å, degrees): 4.0478 12.7637 7.3472 90.00 90.00 90.00
Space group Amm2 (No. 38)
One atom of each set of equivalent atoms:
Sm: 0.0000 0.0000 0.0000 (multiplicity 2)
Dy: 0.0000 0.2061 0.3787 (multiplicity 4)
Mg: 0.5000 0.0000 0.3385 (multiplicity 2)
Mg: 0.5000 0.1240 0.7077 (multiplicity 4)
Ir: 0.5000 0.1693 0.0860 (multiplicity 4)
Pt: 0.0000 0.0000 0.5815 (multiplicity 2)


First-principles (PBE-GGA) data for a relaxed structure of Tb2DyMg3Ir2Pt, as listed in OQMD.

Lattice parameters (Å, degrees): 4.0448 12.6919 7.3279 90.00 90.00 90.00
Space group Amm2 (No. 38)
One atom of each set of equivalent atoms:
Tb: 0.0000 0.2067 0.0000 (multiplicity 4)
Dy: 0.0000 0.0000 0.3800 (multiplicity 2)
Mg: 0.5000 0.0000 0.0405 (multiplicity 2)
Mg: 0.5000 0.1236 0.6697 (multiplicity 4)
Ir: 0.5000 0.1666 0.2933 (multiplicity 4)
Pt: 0.0000 0.0000 0.7932 (multiplicity 2)


First-principles (PBE-GGA) data for a relaxed structure of Tb2DyMg3Ir3, as listed in OQMD.

Lattice parameters (Å, degrees): 4.0585 12.5871 7.2695 90.00 90.00 90.00
Space group Amm2 (No. 38)
One atom of each set of equivalent atoms:
Tb: 0.0000 0.2048 0.0000 (multiplicity 4)
Dy: 0.0000 0.0000 0.3860 (multiplicity 2)
Mg: 0.5000 0.0000 0.0398 (multiplicity 2)
Mg: 0.5000 0.1221 0.6729 (multiplicity 4)
Ir: 0.0000 0.0000 0.7946 (multiplicity 2)
Ir: 0.5000 0.1662 0.2954 (multiplicity 4)


First-principles (PBE-GGA) data for a relaxed structure of TbDy2MgIr4, as listed in OQMD.

Lattice parameters (Å, degrees): 4.7432 4.7432 6.7135 90.00 90.00 90.00
Space group P4/mmm (No. 123)
One atom of each set of equivalent atoms:
Tb: 0.0000 0.0000 0.0000 (multiplicity 1)
Dy: 0.0000 0.0000 0.5000 (multiplicity 1)
Dy: 0.5000 0.5000 0.0000 (multiplicity 1)
Mg: 0.5000 0.5000 0.5000 (multiplicity 1)
Ir: 0.0000 0.5000 0.2558 (multiplicity 4)


First-principles (PBE-GGA) data for a relaxed structure of TbDy2Mg3Ir3, as listed in OQMD.

Lattice parameters (Å, degrees): 4.0553 12.5777 7.2594 90.00 90.00 90.00
Space group Amm2 (No. 38)
One atom of each set of equivalent atoms:
Tb: 0.0000 0.0000 0.0000 (multiplicity 2)
Dy: 0.0000 0.2046 0.3857 (multiplicity 4)
Mg: 0.5000 0.0000 0.3461 (multiplicity 2)
Mg: 0.5000 0.1223 0.7124 (multiplicity 4)
Ir: 0.0000 0.0000 0.5898 (multiplicity 2)
Ir: 0.5000 0.1671 0.0905 (multiplicity 4)


First-principles (PBE-GGA) data for a relaxed structure of Dy3Mg3TlIr2, as listed in OQMD.

Lattice parameters (Å, degrees): 7.3656 7.3656 4.2280 90.00 90.00 120.00
Space group P-62m (No. 189)
One atom of each set of equivalent atoms:
Dy: 0.0000 0.4275 0.0000 (multiplicity 3)
Mg: 0.0000 0.7401 0.5000 (multiplicity 3)
Tl: 0.0000 0.0000 0.0000 (multiplicity 1)
Ir: 0.3333 0.6667 0.5000 (multiplicity 2)


First-principles (PBE-GGA) data for a relaxed structure of Dy3Mg3Tl2Ir, as listed in OQMD.

Lattice parameters (Å, degrees): 7.4381 7.4381 4.5331 90.00 90.00 120.00
Space group P-62m (No. 189)
One atom of each set of equivalent atoms:
Dy: 0.0000 0.3889 0.0000 (multiplicity 3)
Mg: 0.0000 0.7709 0.5000 (multiplicity 3)
Tl: 0.3333 0.6667 0.5000 (multiplicity 2)
Ir: 0.0000 0.0000 0.0000 (multiplicity 1)


First-principles (PBE-GGA) data for a relaxed structure of Dy2TmMgIr4, as listed in OQMD.

Lattice parameters (Å, degrees): 4.7279 4.7279 6.6600 90.00 90.00 90.00
Space group P4/mmm (No. 123)
One atom of each set of equivalent atoms:
Dy: 0.0000 0.0000 0.0000 (multiplicity 1)
Dy: 0.5000 0.5000 0.5000 (multiplicity 1)
Tm: 0.0000 0.0000 0.5000 (multiplicity 1)
Mg: 0.5000 0.5000 0.0000 (multiplicity 1)
Ir: 0.0000 0.5000 0.2458 (multiplicity 4)


Q: Which total DFT energy (no corrections) values were calculated for the entries above? A: -98.55, -98.63, -102.39, -56.17, -102.39, -42.91, -35.76, -56.34, in eV per cell.
Q: Which calculated density values were calculated for the entries above? A: 9.9, 10.0, 10.1, 14.0, 10.2, 9.6, 8.9, 14.4, in g/cm³.